Compound: CoTcBPt
Source: OQMD via LeMat-Bulk
Functional: PBE
Structure: relaxed

The structure in POSCAR format:
```
CoTcBPt
1.0
0.000 2.901 2.901
2.901 0.000 2.901
2.901 2.901 0.000
Co Tc B Pt
1 1 1 1
Direct
0.000 0.000 0.000
0.500 0.500 0.500
0.750 0.750 0.750
0.250 0.250 0.250
```

Output
- total DFT energy (no corrections) (eV for the cell shown) = -28.31

---

Compound: CoReSnAu
Source: OQMD via LeMat-Bulk
Functional: PBE
Structure: relaxed

The structure in POSCAR format:
```
CoReSnAu
1.0
0.000 3.177 3.177
3.177 0.000 3.177
3.177 3.177 0.000
Co Re Sn Au
1 1 1 1
Direct
0.000 0.000 0.000
0.500 0.500 0.500
0.750 0.750 0.750
0.250 0.250 0.250
```

Output
- total DFT energy (no corrections) (eV for the cell shown) = -24.66

---

Compound: LiCuIrPb
Source: OQMD via LeMat-Bulk
Functional: PBE
Structure: relaxed

The structure in POSCAR format:
```
LiCuIrPb
1.0
0.000 3.180 3.180
3.180 0.000 3.180
3.180 3.180 0.000
Li Cu Ir Pb
1 1 1 1
Direct
0.000 0.000 0.000
0.750 0.750 0.750
0.250 0.250 0.250
0.500 0.500 0.500
```

Output
- total DFT energy (no corrections) (eV for the cell shown) = -17.71